Record 1
Entry from Alexandria via LeMat-Bulk: a geometry-optimized K2NaAs2Pt structure (PBE).

abc: 6.663 6.879 8.804
angles: 113.00 112.23 90.00
Fractional positions:
K 0.409 0.173 0.346
K 0.591 0.827 0.654
K 0.062 0.327 0.654
K 0.938 0.673 0.346
Na 0.000 0.750 0.000
Na 0.000 0.250 0.000
As 0.782 0.090 0.179
As 0.398 0.590 0.179
As 0.602 0.410 0.821
As 0.218 0.910 0.821
Pt 0.500 0.750 0.000
Pt 0.500 0.250 0.000

## Properties
Fermi-level density of states = 7.836 states/eV per cell
Formation enthalpy at 0 K = -0.38 eV per atom
Calculated volume = 28.2 Å³ per atom
Spin magnetization = 0.00 μB/atom
Electronic total energy = -3.52 eV/atom

Record 2
Entry from Alexandria via LeMat-Bulk: a geometry-optimized KNaAsPt structure (PBE).

abc: 4.412 4.412 6.736
angles: 90.06 109.09 119.93
Fractional positions:
K 0.392 0.061 0.453
Na 0.994 0.862 0.856
As 0.492 0.610 0.102
Pt 0.814 0.272 0.086

## Properties
Fermi-level density of states = 2.079 states/eV per cell
Formation enthalpy at 0 K = -0.39 eV per atom
Calculated volume = 26.3 Å³ per atom
Spin magnetization = 0.00 μB/atom
Electronic total energy = -3.66 eV/atom

Record 3
Entry from Alexandria via LeMat-Bulk: a geometry-optimized KRbNa2As structure (PBE).

abc: 5.824 5.824 6.819
angles: 90.00 90.00 90.00
Fractional positions:
Na 0.000 0.500 0.000
Na 0.500 0.000 0.000
As 0.000 0.000 0.000
K 0.500 0.500 0.500
Rb 0.000 0.000 0.500

## Properties
Fermi-level density of states = 3.277 states/eV per cell
Formation enthalpy at 0 K = -0.15 eV per atom
Calculated volume = 46.3 Å³ per atom
Spin magnetization = 0.00 μB/atom
Electronic total energy = -2.02 eV/atom
E above lowest polymorph = 0.92 kcal/mol of atoms

Record 4
Entry from Alexandria via LeMat-Bulk: a geometry-optimized KRbNaAs structure (PBE).

abc: 5.613 5.613 5.613
angles: 60.00 60.00 60.00
Fractional positions:
Na 0.250 0.250 0.250
As 0.500 0.500 0.500
K 0.750 0.750 0.750
Rb 0.000 0.000 0.000

## Properties
Formation enthalpy at 0 K = -0.29 eV per atom
Calculated volume = 31.3 Å³ per atom
Spin magnetization = 0.00 μB/atom
Electronic total energy = -2.30 eV/atom

Record 5
Entry from Alexandria via LeMat-Bulk: a geometry-optimized K2RbNaAs structure (PBE).

abc: 6.531 6.531 6.766
angles: 90.00 90.00 90.00
Fractional positions:
Na 0.500 0.500 0.500
As 0.000 0.000 0.000
K 0.000 0.500 0.000
K 0.500 0.000 0.000
Rb 0.000 0.000 0.500

## Properties
Fermi-level density of states = 4.010 states/eV per cell
Formation enthalpy at 0 K = -0.08 eV per atom
Calculated volume = 57.7 Å³ per atom
Spin magnetization = 0.21 μB/atom
Electronic total energy = -1.91 eV/atom
E above lowest polymorph = 2.16 kcal/mol of atoms

Record 6
Entry from Alexandria via LeMat-Bulk: a geometry-optimized KRbNa2As structure (PBE).

abc: 5.843 5.843 6.538
angles: 90.00 90.00 90.00
Fractional positions:
Na 0.000 0.500 0.000
Na 0.500 0.000 0.000
As 0.000 0.000 0.000
K 0.000 0.000 0.500
Rb 0.500 0.500 0.500

## Properties
Fermi-level density of states = 2.984 states/eV per cell
Formation enthalpy at 0 K = -0.19 eV per atom
Calculated volume = 44.6 Å³ per atom
Spin magnetization = 0.00 μB/atom
Electronic total energy = -2.06 eV/atom
E above lowest polymorph = 0.00 kcal/mol of atoms

Record 7
Entry from Alexandria via LeMat-Bulk: a geometry-optimized K2RbNaAs structure (PBE).

abc: 6.626 6.626 5.770
angles: 90.00 90.00 90.00
Fractional positions:
Na 0.000 0.000 0.500
As 0.000 0.000 0.000
K 0.000 0.500 0.000
K 0.500 0.000 0.000
Rb 0.500 0.500 0.500

## Properties
Fermi-level density of states = 3.126 states/eV per cell
Formation enthalpy at 0 K = -0.17 eV per atom
Calculated volume = 50.7 Å³ per atom
Spin magnetization = 0.00 μB/atom
Electronic total energy = -2.00 eV/atom
E above lowest polymorph = 0.00 kcal/mol of atoms

Record 8
Entry from Alexandria via LeMat-Bulk: a geometry-optimized KNa2AsS4 structure (PBE).

abc: 7.201 6.570 6.570
angles: 78.38 56.76 56.76
Fractional positions:
K 0.000 0.000 0.000
Na 0.500 0.750 0.250
Na 0.500 0.250 0.750
As 0.000 0.500 0.500
S 0.643 0.529 0.827
S 0.357 0.173 0.471
S 0.000 0.471 0.173
S 0.000 0.827 0.529

## Properties
Fermi-level density of states = 0.000 states/eV per cell
Raw formation energy = -805 meV/atom
Calculated volume = 26.9 Å³ per atom
Spin magnetization = 0.00 μB/atom
Electronic total energy = -3.92 eV/atom

Record 9
Entry from Alexandria via LeMat-Bulk: a geometry-optimized K3NaAs2S6 structure (PBE).

abc: 7.373 7.373 8.438
angles: 90.00 90.00 120.00
Fractional positions:
K 0.333 0.667 0.637
K 0.667 0.333 0.363
K 0.000 0.000 0.000
Na 0.000 0.000 0.500
As 0.667 0.333 0.792
As 0.333 0.667 0.208
S 0.658 0.829 0.288
S 0.171 0.342 0.288
S 0.171 0.829 0.288
S 0.829 0.658 0.712
S 0.342 0.171 0.712
S 0.829 0.171 0.712

## Properties
Fermi-level density of states = 5.858 states/eV per cell
Raw formation energy = -629 meV/atom
Calculated volume = 33.1 Å³ per atom
Spin magnetization = 0.00 μB/atom
Electronic total energy = -3.85 eV/atom

Record 10
Entry from Alexandria via LeMat-Bulk: a geometry-optimized KNaAsS3 structure (PBE).

abc: 4.315 7.241 11.360
angles: 90.00 90.00 107.34
Fractional positions:
K 0.746 0.493 0.750
K 0.254 0.507 0.250
Na 0.000 0.000 0.500
Na 0.000 0.000 0.000
As 0.467 0.934 0.750
As 0.533 0.066 0.250
S 0.626 0.252 0.406
S 0.374 0.748 0.594
S 0.374 0.748 0.906
S 0.626 0.252 0.094
S 0.049 0.099 0.750
S 0.951 0.901 0.250

## Properties
Fermi-level density of states = 2.670 states/eV per cell
Raw formation energy = -724 meV/atom
Calculated volume = 28.2 Å³ per atom
Spin magnetization = 0.00 μB/atom
Electronic total energy = -3.97 eV/atom

Record 11
Entry from Alexandria via LeMat-Bulk: a geometry-optimized KNaAs2Se structure (PBE).

abc: 5.183 5.183 5.378
angles: 90.00 90.00 90.00
Fractional positions:
Na 0.000 0.000 0.000
As 0.000 0.500 0.000
As 0.500 0.000 0.000
K 0.500 0.500 0.500
Se 0.000 0.000 0.500

## Properties
Fermi-level density of states = 3.891 states/eV per cell
Raw formation energy = 345 meV/atom
Calculated volume = 28.9 Å³ per atom
Spin magnetization = 0.00 μB/atom
Electronic total energy = -2.70 eV/atom
E above lowest polymorph = 0.00 kcal/mol of atoms

Record 12
Entry from Alexandria via LeMat-Bulk: a geometry-optimized KNaAsSe2 structure (PBE).

abc: 5.358 5.358 5.143
angles: 90.00 90.00 90.00
Fractional positions:
Na 0.000 0.000 0.000
As 0.000 0.000 0.500
K 0.500 0.500 0.500
Se 0.000 0.500 0.000
Se 0.500 0.000 0.000

## Properties
Fermi-level density of states = 6.118 states/eV per cell
Raw formation energy = 149 meV/atom
Calculated volume = 29.5 Å³ per atom
Spin magnetization = 0.00 μB/atom
Electronic total energy = -2.66 eV/atom
E above lowest polymorph = 15.73 kcal/mol of atoms